Entry 1:
## K4Rb2Zn (PBE)

Data for an optimized crystal structure of K4Rb2Zn.

Cell lengths 6.7454, 6.7454, 12.1958 Å; angles 73.95, 73.95, 90.00 degrees
Positions (direct):
Rb (0.8337, 0.8337, 0.3325)
Zn (0.0000, 0.0000, 0.0000)
K (0.5000, 0.0000, 0.0000)
K (0.3681, 0.3681, 0.2637)
Rb (0.1663, 0.1663, 0.6675)
K (0.0000, 0.5000, 0.0000)
K (0.6319, 0.6319, 0.7363)

Values from the calculation:
ΔE_f = 0.1021 eV per atom
magnetization = 0.0 μB per cell
D(E_F) = 0.741 states/eV/atom
total energy = -6.9 eV for the cell shown
space group = I4/mmm
excess energy over the best structure of this formula in the dataset = 0.047 eV per atom

Entry 2:
## Cr2OsRu (PBE)

Data for an optimized crystal structure of Cr2OsRu.

Cell lengths 2.6237, 2.6237, 8.3860 Å; angles 90.00, 90.00, 113.76 degrees
Positions (direct):
Ru (0.5000, 0.5000, 0.7662)
Cr (0.5000, 0.5000, 0.2357)
Cr (0.0000, 0.0000, 0.0127)
Os (0.0000, 0.0000, 0.4855)

Values from the calculation:
ΔE_f = 0.3208 eV per atom
magnetization = 0.0 μB per cell
D(E_F) = 1.428 states/eV/atom
total energy = -38.5 eV for the cell shown
space group = Cmm2
excess energy over the best structure of this formula in the dataset = 0.226 eV per atom

Entry 3:
## AlGaPRh2 (PBE)

Data for an optimized crystal structure of AlGaPRh2.

Cell lengths 4.4398, 4.5787, 4.4398 Å; angles 90.00, 90.00, 90.00 degrees
Positions (direct):
Al (0.5000, 0.5000, 0.5000)
P (0.0000, 0.0000, 0.0000)
Rh (0.5000, 0.0000, 0.0000)
Ga (0.0000, 0.5000, 0.0000)
Rh (0.0000, 0.0000, 0.5000)

Values from the calculation:
ΔE_f = 0.1727 eV per atom
magnetization = 0.0 μB per cell
D(E_F) = 1.020 states/eV/atom
total energy = -26.0 eV for the cell shown
space group = P4/mmm
excess energy over the best structure of this formula in the dataset = 0.000 eV per atom

Q: What is the ΔE_f in the third record?
A: 0.1727 eV per atom

Q: Look up the magnetization of the third one.
A: 0.0 μB per cell

Q: Among the records above, which one has the lowest total energy?
A: Cr2OsRu

Q: What is the formula in the second record?
A: Cr2OsRu